# 1
{"formula": "BaEuPd", "functional": "PBE", "state": "relaxed", "lattice": [[-1.922, 1.922, 7.153], [1.922, -1.922, 7.153], [1.922, 1.922, -7.153]], "species": ["Ba", "Eu", "Pd"], "frac_coords": [[0.000, 0.000, 0.000], [0.252, 0.252, 0.000], [0.643, 0.643, 0.000]], "rho_g_cm3": 6.22, "dos_ef_per_ev_atom": 4.544, "total_magnetization_mub_per_atom": 2.40, "de_polymorph_mev_per_atom": 30}

***

# 2
{"formula": "K2NpCl4F2", "functional": "PBE", "state": "relaxed", "lattice": [[5.797, -3.791, 0.000], [5.797, 3.791, 0.000], [-0.931, 0.000, 5.472]], "species": ["K", "K", "Np", "Cl", "Cl", "Cl", "Cl", "F", "F"], "frac_coords": [[0.170, 0.170, 0.320], [0.830, 0.830, 0.680], [0.500, 0.500, 0.000], [0.137, 0.651, 0.205], [0.349, 0.863, 0.795], [0.651, 0.137, 0.205], [0.863, 0.349, 0.795], [0.360, 0.360, 0.711], [0.640, 0.640, 0.289]], "rho_g_cm3": 3.42, "dos_ef_per_ev_atom": 1.102, "e_form_raw_ev_per_fu": -20.8, "total_magnetization_mub_per_atom": 0.33}

***

# 3
{"formula": "Sm7Te2Ru2", "functional": "PBE", "state": "relaxed", "lattice": [[4.416, -5.274, 0.000], [4.416, 5.274, 0.000], [0.000, 0.000, 7.446]], "species": ["Sm", "Sm", "Sm", "Sm", "Sm", "Sm", "Sm", "Te", "Te", "Ru", "Ru"], "frac_coords": [[0.000, 0.000, 0.000], [0.000, 0.500, 0.239], [0.000, 0.500, 0.761], [0.500, 0.000, 0.239], [0.500, 0.000, 0.761], [0.500, 0.500, 0.226], [0.500, 0.500, 0.774], [0.217, 0.217, 0.500], [0.783, 0.783, 0.500], [0.272, 0.728, 0.000], [0.728, 0.272, 0.000]], "rho_g_cm3": 7.23, "dos_ef_per_ev_atom": 0.859, "e_form_raw_ev_per_fu": -5.5, "total_magnetization_mub_per_atom": 0.00, "de_polymorph_mev_per_atom": 166}